This record from Alexandria describes an optimized crystal structure of NdGe2Rh. The functional is PBE.

```
NdGe2Rh
1.0
4.2599 0.0000 -0.9897
-0.9968 7.8847 -4.2903
-0.0260 0.0207 9.5502
Nd Ge Rh
4 8 4
direct
0.7065 0.7065 0.4129 Nd
0.5000 0.2611 0.0000 Nd
0.5000 0.7389 0.0000 Nd
0.2935 0.2935 0.5871 Nd
0.9228 0.4228 0.8456 Ge
0.6976 0.3513 0.3952 Ge
0.6976 0.0439 0.3952 Ge
0.3024 0.6487 0.6048 Ge
0.0792 0.0792 0.1585 Ge
0.0772 0.5772 0.1544 Ge
0.9208 0.9208 0.8415 Ge
0.3024 0.9561 0.6048 Ge
0.8531 0.6053 0.7061 Rh
0.1469 0.3947 0.2939 Rh
0.1469 0.8992 0.2939 Rh
0.8531 0.1008 0.7061 Rh
```

- Space-group type: No. 71
- ΔE_f: -0.839 eV/atom
- Total magnetic moment: 0.000 μB per formula unit
- Crystal system: orthorhombic